The following is a GGA-PBE calculation of a geometry-optimized NaCu3O4 structure, from the Alexandria database.

Unit cell a=6.0612 b=6.0612 c=8.8375 alpha=90.00 beta=90.00 gamma=90.00
Site moments in Bohr magnetons follow the coordinates.
Fractional coordinates of all 32 atoms:
O 0.2296 0.4776 0.4768  0.00
O 0.0299 0.2281 0.2157  0.03
O 0.4776 0.2296 0.2732  0.00
Cu 0.0000 0.2543 0.5000  0.27
O 0.7719 0.0299 0.4657  0.03
Cu 0.0000 0.7578 0.5000  0.02
O 0.7719 0.9701 0.0343  0.03
Cu 0.2543 0.0000 0.2500  0.27
O 0.0299 0.7719 0.2843  0.03
Cu 0.0000 0.7457 0.0000  0.27
Na 0.5000 0.7552 0.5000  0.00
Cu 0.0000 0.2422 0.0000  0.02
O 0.7704 0.4776 0.5232  0.00
Cu 0.5000 0.2503 0.5000  -0.18
O 0.5224 0.7704 0.7732  0.00
O 0.2281 0.0299 0.5343  0.03
Cu 0.5000 0.7497 0.0000  -0.18
O 0.4776 0.7704 0.2268  0.00
Na 0.2448 0.5000 0.7500  0.00
Cu 0.2503 0.5000 0.2500  -0.18
O 0.2296 0.5224 0.0232  0.00
Cu 0.2422 0.0000 0.7500  0.02
Cu 0.7578 0.0000 0.2500  0.02
O 0.9701 0.7719 0.7157  0.03
Cu 0.7457 0.0000 0.7500  0.27
O 0.7704 0.5224 0.9768  0.00
Na 0.7552 0.5000 0.2500  0.00
Cu 0.7497 0.5000 0.7500  -0.18
O 0.5224 0.2296 0.7268  0.00
O 0.2281 0.9701 0.9657  0.03
O 0.9701 0.2281 0.7843  0.03
Na 0.5000 0.2448 0.0000  0.00

Output
Space-group type ... P4_122 (91)
Relative energy among the computed polymorphs ... 60.9 meV per atom



The following is a GGA-PBE calculation of a geometry-optimized Na8Cu5O10 structure, from the Alexandria database.

Unit cell a=5.7122 b=8.2026 c=8.2026 alpha=118.35 beta=100.97 gamma=100.97
Site moments in Bohr magnetons follow the coordinates.
Fractional coordinates of all 23 atoms:
Na 0.3705 0.7386 0.9633  0.00
Na 0.1395 0.0847 0.0847  0.00
O 0.0076 0.9881 0.5761  0.11
O 0.5330 0.6528 0.6528  0.12
O 0.5265 0.4769 0.8693  0.11
O 0.9780 0.3575 0.1633  0.11
Cu 0.7493 0.4184 0.0191  0.25
O 0.4884 0.0480 0.2583  0.11
Na 0.3705 0.9633 0.7386  0.00
Na 0.0897 0.5211 0.5211  0.00
Na 0.1415 0.2998 0.8528  0.00
O 0.4884 0.2583 0.0480  0.11
Na 0.4029 0.2702 0.5338  0.00
O 0.5265 0.8693 0.4769  0.11
Cu 0.7812 0.6258 0.8252  0.33
Cu 0.7812 0.8252 0.6258  0.33
Na 0.1415 0.8528 0.2998  0.00
Na 0.4029 0.5338 0.2702  0.00
O 0.0076 0.5761 0.9881  0.11
O 0.0296 0.7809 0.7809  0.11
Cu 0.7493 0.0191 0.4184  0.25
O 0.9780 0.1633 0.3575  0.11
Cu 0.7216 0.2000 0.2000  0.38

Output
Space-group type ... Cm (8)



The following is a GGA-PBE calculation of a geometry-optimized Na5CuO3 structure, from the Alexandria database.

Unit cell a=6.0999 b=6.0999 c=8.4000 alpha=80.25 beta=80.25 gamma=74.95
Site moments in Bohr magnetons follow the coordinates.
Fractional coordinates of all 18 atoms:
Cu 0.1554 0.1554 0.5993  0.02
Na 0.3463 0.9707 0.2975  0.00
Na 0.3040 0.6960 0.0000  0.00
O 0.0000 0.0000 0.0000  0.08
Na 0.0293 0.6537 0.7025  0.00
O 0.6680 0.6680 0.8500  0.00
Na 0.6537 0.0293 0.7025  0.00
Na 0.4282 0.4282 0.3699  0.00
Na 0.2267 0.2267 0.9337  0.00
Na 0.6960 0.3040 0.0000  0.00
Na 0.7733 0.7733 0.0663  0.00
O 0.6712 0.6712 0.3435  0.00
Cu 0.8446 0.8446 0.4007  0.02
Na 0.5718 0.5718 0.6301  0.00
O 0.3320 0.3320 0.1500  0.00
O 0.0000 0.0000 0.5000  0.01
O 0.3288 0.3288 0.6565  0.00
Na 0.9707 0.3463 0.2975  0.00

Output
Space-group type ... C2/m (12)



The following is a GGA-PBE calculation of a geometry-optimized Na5Cu7O13 structure, from the Alexandria database.

Unit cell a=6.9246 b=6.9020 c=7.5674 alpha=97.07 beta=99.58 gamma=103.81
Site moments in Bohr magnetons follow the coordinates.
Fractional coordinates of all 25 atoms:
Cu 0.0167 0.0126 0.0103  0.07
Na 0.7545 0.2651 0.4671  0.00
O 0.6914 0.9167 0.4389  0.04
Na 0.5289 0.0166 0.9611  0.00
O 0.1108 0.3344 0.5817  0.14
Na 0.9282 0.4348 0.1448  0.00
O 0.7326 0.5077 0.6989  0.03
Cu 0.5773 0.5696 0.8610  0.08
O 0.0107 0.7895 0.1225  0.04
Cu 0.1410 0.1496 0.7185  0.19
O 0.4217 0.6394 0.0211  0.04
O 0.4237 0.2080 0.2737  0.12
Cu 0.8485 0.8513 0.2802  0.06
O 0.0188 0.2379 0.9074  0.15
O 0.8548 0.0740 0.1688  0.04
Na 0.0977 0.5968 0.8097  0.00
O 0.5827 0.3606 0.9871  0.08
Cu 0.7081 0.7108 0.5682  0.08
O 0.2707 0.5031 0.2982  0.10
Cu 0.2685 0.2891 0.4290  0.16
Na 0.3494 0.8430 0.2890  0.00
O 0.1696 0.9466 0.8447  0.13
O 0.5684 0.7794 0.7382  0.12
O 0.8418 0.6310 0.3949  0.10
Cu 0.4242 0.4242 0.1452  0.07

Output
Space-group type ... P1 (1)



The following is a GGA-PBE calculation of a geometry-optimized Na2Cu3O4 structure, from the Alexandria database.

Unit cell a=2.9645 b=5.3799 c=7.1593 alpha=112.19 beta=101.87 gamma=90.00
Fractional coordinates of all 9 atoms:
Cu 0.1051 0.1031 0.2063
Cu 0.5000 0.5000 0.0000
Na 0.7976 0.2979 0.5961
O 0.6134 0.3501 0.2235
O 0.6137 0.8737 0.2241
Cu 0.8949 0.8969 0.7937
O 0.3866 0.6499 0.7765
Na 0.2024 0.7021 0.4039
O 0.3863 0.1263 0.7759

Output
Space-group type ... P-1 (2)



The following is a GGA-PBE calculation of a geometry-optimized NaCu2O2 structure, from the Alexandria database.

Unit cell a=5.9971 b=5.4049 c=5.4049 alpha=89.99 beta=116.75 gamma=116.75
Site moments in Bohr magnetons follow the coordinates.
Fractional coordinates of all 10 atoms:
O 0.2594 0.8796 0.6298  0.16
O 0.7406 0.1204 0.3702  0.16
Cu 0.5000 0.5000 0.0000  0.33
Na 0.2500 0.8751 0.1249  0.00
Na 0.7500 0.1249 0.8751  0.00
O 0.2406 0.3702 0.1204  0.16
O 0.7594 0.6298 0.8796  0.16
Cu 0.5000 0.5000 0.5000  0.33
Cu 0.0000 0.5000 0.5000  0.33
Cu 0.0000 0.0000 0.5000  0.33

Output
Space-group type ... I4_1/amd (141)
Relative energy among the computed polymorphs ... 64.0 meV per atom



The following is a GGA-PBE calculation of a geometry-optimized NaCu3O structure, from the Alexandria database.

Unit cell a=4.5074 b=4.5074 c=4.5074 alpha=90.00 beta=90.00 gamma=90.00
Fractional coordinates of all 5 atoms:
Cu 0.5000 0.0000 0.0000
Cu 0.0000 0.0000 0.5000
O 0.5000 0.5000 0.5000
Na 0.0000 0.0000 0.0000
Cu 0.0000 0.5000 0.0000

Output
Space-group type ... Pm-3m (221)
Relative energy among the computed polymorphs ... 1545.9 meV per atom



The following is a GGA-PBE calculation of a geometry-optimized NaCu3O3 structure, from the Alexandria database.

Unit cell a=4.4079 b=6.4240 c=6.4240 alpha=120.00 beta=90.00 gamma=90.00
Fractional coordinates of all 14 atoms:
O 0.2500 0.0447 0.5223
Cu 0.2500 0.1390 0.2779
O 0.2500 0.4776 0.9553
Cu 0.7500 0.8611 0.1390
O 0.7500 0.5224 0.0447
Cu 0.2500 0.1389 0.8610
O 0.2500 0.4777 0.5224
Cu 0.2500 0.7221 0.8611
O 0.7500 0.9553 0.4777
O 0.7500 0.5223 0.4776
Cu 0.7500 0.8610 0.7221
Cu 0.7500 0.2779 0.1389
Na 0.2500 0.6667 0.3333
Na 0.7500 0.3333 0.6667

Output
Space-group type ... P6_3/mmc (194)



The following is a GGA-PBE calculation of a geometry-optimized NaCu3O4 structure, from the Alexandria database.

Unit cell a=5.4773 b=5.4773 c=5.4773 alpha=90.00 beta=90.00 gamma=90.00
Fractional coordinates of all 16 atoms:
O 0.2500 0.7500 0.2500
Cu 0.2500 0.0000 0.5000
O 0.7500 0.2500 0.2500
Cu 0.5000 0.7500 0.0000
O 0.7500 0.7500 0.7500
O 0.7500 0.2500 0.7500
O 0.2500 0.2500 0.2500
Na 0.0000 0.0000 0.0000
Cu 0.0000 0.5000 0.2500
Na 0.5000 0.5000 0.5000
Cu 0.7500 0.0000 0.5000
Cu 0.0000 0.5000 0.7500
O 0.7500 0.7500 0.2500
O 0.2500 0.2500 0.7500
O 0.2500 0.7500 0.7500
Cu 0.5000 0.2500 0.0000

Output
Space-group type ... Pm-3n (223)
Relative energy among the computed polymorphs ... 0.0 meV per atom



The following is a GGA-PBE calculation of a geometry-optimized NaCuOs2O8 structure, from the Alexandria database.

Unit cell a=6.1149 b=6.1149 c=6.1149 alpha=111.12 beta=111.12 gamma=106.22
Site moments in Bohr magnetons follow the coordinates.
Fractional coordinates of all 12 atoms:
O 0.8454 0.6431 0.2023  0.07
O 0.3569 0.5592 0.2023  0.07
O 0.8187 0.1075 0.7111  0.09
Os 0.5000 0.5000 0.0000  0.50
Os 0.7500 0.2500 0.5000  0.64
O 0.8925 0.1813 0.2889  0.09
Na 0.2500 0.7500 0.5000  0.00
O 0.3569 0.1546 0.7977  0.07
O 0.4408 0.6431 0.7977  0.07
Cu 0.0000 0.0000 0.0000  0.03
O 0.3964 0.1075 0.2889  0.09
O 0.8925 0.6036 0.7111  0.09

Output
Space-group type ... I-4m2 (119)



The following is a GGA-PBE calculation of a geometry-optimized Na2CuOsO6 structure, from the Alexandria database.

Unit cell a=5.4037 b=5.5095 c=7.5364 alpha=90.00 beta=90.07 gamma=90.00
Site moments in Bohr magnetons follow the coordinates.
Fractional coordinates of all 20 atoms:
O 0.1885 0.2201 0.0459  0.08
O 0.3115 0.7201 0.4541  0.08
Na 0.5085 0.5455 0.7506  0.00
Na 0.4915 0.4545 0.2494  0.00
Na 0.9915 0.0455 0.7494  0.00
O 0.7197 0.3067 0.9574  0.07
Cu 0.5000 0.0000 0.0000  0.61
O 0.5852 0.0214 0.2576  0.08
O 0.2803 0.6933 0.0426  0.07
O 0.8115 0.7799 0.9541  0.08
Os 0.0000 0.5000 0.0000  -0.06
O 0.0852 0.4786 0.7576  0.08
O 0.4148 0.9786 0.7424  0.08
O 0.6885 0.2799 0.5459  0.08
O 0.2197 0.1933 0.4574  0.07
Os 0.5000 0.0000 0.5000  -0.06
Cu 0.0000 0.5000 0.5000  0.61
O 0.9148 0.5214 0.2424  0.08
O 0.7803 0.8067 0.5426  0.07
Na 0.0085 0.9545 0.2506  0.00

Output
Space-group type ... P2_1/c (14)



The following is a GGA-PBE calculation of a geometry-optimized NaCu2OsO6 structure, from the Alexandria database.

Unit cell a=7.4787 b=6.6465 c=6.6465 alpha=99.72 beta=81.90 gamma=81.90
Fractional coordinates of all 20 atoms:
O 0.1019 0.6261 0.5627
Cu 0.3430 0.6272 0.6308
O 0.3981 0.4373 0.3739
O 0.2848 0.8112 0.8857
O 0.9478 0.8129 0.1831
Cu 0.1570 0.3692 0.3728
Cu 0.8430 0.6308 0.6272
O 0.6019 0.5627 0.6261
Cu 0.6570 0.3728 0.3692
Na 0.7500 0.2427 0.7573
O 0.8981 0.3739 0.4373
Na 0.2500 0.7573 0.2427
O 0.7152 0.1888 0.1143
O 0.5522 0.8169 0.1871
O 0.2152 0.1143 0.1888
O 0.0522 0.1871 0.8169
O 0.4478 0.1831 0.8129
Os 0.7500 0.9055 0.0945
O 0.7848 0.8857 0.8112
Os 0.2500 0.0945 0.9055

Output
Space-group type ... C2/c (15)



The following is a GGA-PBE calculation of a geometry-optimized NaCuOsO5 structure, from the Alexandria database.

Unit cell a=5.7315 b=5.7315 c=7.3321 alpha=103.35 beta=103.35 gamma=109.10
Fractional coordinates of all 16 atoms:
O 0.6518 0.7745 0.9265
O 0.0738 0.7155 0.8894
Cu 0.6905 0.3095 0.2500
Os 0.0000 0.0000 0.0000
Na 0.3345 0.6655 0.2500
O 0.7155 0.0738 0.3894
O 0.2255 0.3482 0.5735
O 0.3482 0.2255 0.0735
O 0.0713 0.9287 0.2500
O 0.2845 0.9262 0.6106
O 0.9262 0.2845 0.1106
Os 0.0000 0.0000 0.5000
O 0.9287 0.0713 0.7500
Na 0.6655 0.3345 0.7500
Cu 0.3095 0.6905 0.7500
O 0.7745 0.6518 0.4265

Output
Space-group type ... C2/c (15)



The following is a GGA-PBE calculation of a geometry-optimized NaCuOsO4 structure, from the Alexandria database.

Unit cell a=5.8587 b=6.5089 c=6.2700 alpha=118.80 beta=90.00 gamma=116.75
Site moments in Bohr magnetons follow the coordinates.
Fractional coordinates of all 14 atoms:
Na 0.8344 0.6689 0.0845  0.00
Na 0.1656 0.3311 0.9155  0.00
Cu 0.5000 0.5000 0.5000  -0.18
O 0.7277 0.0424 0.7712  0.08
O 0.6970 0.3939 0.6486  -0.01
Os 0.5000 0.0000 0.5000  0.88
O 0.3147 0.0424 0.7712  0.08
O 0.6970 0.3939 0.2454  -0.01
O 0.3030 0.6061 0.3514  -0.01
Cu 0.0000 0.5000 0.5000  -0.18
O 0.6853 0.9576 0.2288  0.08
O 0.2723 0.9576 0.2288  0.08
O 0.3030 0.6061 0.7546  -0.01
Os 0.5000 0.0000 0.0000  0.88

Output
Space-group type ... Imma (74)



The following is a GGA-PBE calculation of a geometry-optimized NaCu2PO6 structure, from the Alexandria database.

Unit cell a=6.0270 b=6.9734 c=6.9734 alpha=104.85 beta=75.70 gamma=75.70
Fractional coordinates of all 20 atoms:
O 0.4488 0.4491 0.3297
O 0.5512 0.5509 0.6703
O 0.4880 0.1701 0.6754
Cu 0.1456 0.4615 0.2892
Na 0.7500 0.1096 0.8904
O 0.0120 0.3246 0.8299
P 0.2500 0.1766 0.8234
O 0.2197 0.9518 0.7817
O 0.5120 0.8299 0.3246
O 0.9488 0.3297 0.4491
Cu 0.3544 0.7108 0.5385
O 0.7803 0.0482 0.2183
O 0.9880 0.6754 0.1701
O 0.2803 0.2183 0.0482
Na 0.2500 0.8904 0.1096
Cu 0.8544 0.5385 0.7108
Cu 0.6456 0.2892 0.4615
P 0.7500 0.8234 0.1766
O 0.0512 0.6703 0.5509
O 0.7197 0.7817 0.9518

Output
Space-group type ... C2/c (15)



The following is a GGA-PBE calculation of a geometry-optimized Na2CuPO4 structure, from the Alexandria database.

Unit cell a=5.0919 b=5.0919 c=5.0919 alpha=99.85 beta=114.48 gamma=114.48
Fractional coordinates of all 8 atoms:
O 0.9731 0.5150 0.1862
O 0.3288 0.8138 0.7869
Na 0.0000 0.0000 0.0000
O 0.6712 0.4581 0.4850
O 0.0269 0.2131 0.5419
Cu 0.5000 0.2500 0.7500
P 0.0000 0.5000 0.5000
Na 0.5000 0.7500 0.2500

Output
Space-group type ... I-4 (82)



no.,E_form (uncorrected) (eV/atom)
1,-0.704
2,-1.071
3,-1.046
4,-0.798
5,-0.841
6,-0.779
7,1.633
8,-0.158
9,-0.765
10,-0.890
11,-1.070
12,-0.861
13,-1.023
14,-1.004
15,-1.244
16,-1.782